DFT (PBE) results for a relaxed structure of PrTmInNi.

Structure (POSCAR):
```
PrTmInNi
1.0
-2.123 -4.003 2.490
-0.976 -4.399 -2.535
2.815 -4.225 0.975
Ni Tm Pr In
1 1 1 1
Direct
0.250 0.250 0.250
0.000 0.000 0.000
0.500 0.500 0.500
0.750 0.750 0.750
```

E_tot in eV per cell: -18.80
SG: F-43m (216)
Size of the total moment in μB per atom: 0.000
V in A^3/atom: 24.43